(1)
Here is a relaxed AcTb2Pr crystal from the Alexandria database. Energies are from GGA-PBE.

Output
**Symmetry**: P4/mmm (123)
**Energy above the most stable polymorph in this dataset**: 2 meV/atom

Cell lengths 5.1370, 5.2818, 5.2818 Å; angles 90.00, 90.00, 90.00 degrees
Fractional coordinates of all 4 atoms:
Pr (0.5000, 0.0000, 0.0000)
Ac (0.5000, 0.5000, 0.5000)
Tb (0.0000, 0.0000, 0.5000)
Tb (0.0000, 0.5000, 0.0000)



(2)
Here is a relaxed Ac2Tb5Pr12 crystal from the Alexandria database. Energies are from GGA-PBE.

Output
**Symmetry**: C2/m (12)
**Energy above the most stable polymorph in this dataset**: 0 meV/atom

Cell lengths 11.8935, 10.9410, 6.4089 Å; angles 99.26, 90.00, 122.92 degrees
Fractional coordinates of all 19 atoms:
Ac (0.7136, 0.0000, 0.0000)
Ac (0.2864, 0.0000, 0.0000)
Tb (0.2170, 0.4340, 0.5623)
Tb (0.3246, 0.6491, 0.1076)
Tb (0.0000, 0.0000, 0.5000)
Tb (0.6754, 0.3509, 0.8924)
Tb (0.7830, 0.5660, 0.4377)
Pr (0.1055, 0.2109, 0.0234)
Pr (0.0356, 0.5873, 0.7845)
Pr (0.5517, 0.5873, 0.7845)
Pr (0.1341, 0.7949, 0.3892)
Pr (0.6609, 0.7949, 0.3892)
Pr (0.4175, 0.8349, 0.6341)
Pr (0.5825, 0.1651, 0.3659)
Pr (0.8659, 0.2051, 0.6108)
Pr (0.3391, 0.2051, 0.6108)
Pr (0.9644, 0.4127, 0.2155)
Pr (0.4483, 0.4127, 0.2155)
Pr (0.8945, 0.7891, 0.9766)



(3)
Here is a relaxed AcTbPr crystal from the Alexandria database. Energies are from GGA-PBE.

Output
**Symmetry**: I4mm (107)
**Energy above the most stable polymorph in this dataset**: 4 meV/atom

Cell lengths 3.7907, 3.7907, 8.2936 Å; angles 103.21, 103.21, 90.00 degrees
Fractional coordinates of all 3 atoms:
Pr (0.3270, 0.3270, 0.6541)
Ac (0.0020, 0.0020, 0.0040)
Tb (0.6710, 0.6710, 0.3419)



(4)
Here is a relaxed Ac6TbPr8 crystal from the Alexandria database. Energies are from GGA-PBE.

Output
**Symmetry**: R-3 (148)

Cell lengths 9.2476, 9.2476, 9.2476 Å; angles 62.79, 62.79, 62.79 degrees
Fractional coordinates of all 15 atoms:
Ac (0.9097, 0.4568, 0.7599)
Ac (0.2401, 0.0903, 0.5432)
Ac (0.5432, 0.2401, 0.0903)
Ac (0.4568, 0.7599, 0.9097)
Ac (0.7599, 0.9097, 0.4568)
Ac (0.0903, 0.5432, 0.2401)
Tb (0.0000, 0.0000, 0.0000)
Pr (0.1117, 0.7063, 0.7625)
Pr (0.2375, 0.8883, 0.2937)
Pr (0.2937, 0.2375, 0.8883)
Pr (0.5751, 0.5751, 0.5751)
Pr (0.4249, 0.4249, 0.4249)
Pr (0.7063, 0.7625, 0.1117)
Pr (0.7625, 0.1117, 0.7063)
Pr (0.8883, 0.2937, 0.2375)



(5)
Here is a relaxed Ac12Tb7Pr crystal from the Alexandria database. Energies are from GGA-PBE.

Output
**Symmetry**: R-3 (148)

Cell lengths 6.6383, 12.1909, 12.1909 Å; angles 116.78, 100.46, 100.46 degrees
Fractional coordinates of all 20 atoms:
Ac (0.0863, 0.5875, 0.1743)
Ac (0.0880, 0.1743, 0.5869)
Ac (0.5645, 0.6542, 0.9992)
Ac (0.4348, 0.9992, 0.3450)
Ac (0.5011, 0.4131, 0.5875)
Ac (0.0898, 0.6550, 0.6542)
Ac (0.9102, 0.3450, 0.3458)
Ac (0.4989, 0.5869, 0.4125)
Ac (0.5652, 0.0008, 0.6550)
Ac (0.4355, 0.3458, 0.0008)
Ac (0.9120, 0.8257, 0.4131)
Ac (0.9137, 0.4125, 0.8257)
Tb (0.1054, 0.7579, 0.9994)
Tb (0.8939, 0.9994, 0.2415)
Tb (0.6524, 0.7585, 0.7579)
Tb (0.5000, 0.0000, 0.0000)
Tb (0.3476, 0.2415, 0.2421)
Tb (0.1061, 0.0006, 0.7585)
Tb (0.8946, 0.2421, 0.0006)
Pr (0.0000, 0.0000, 0.0000)



(6)
Here is a relaxed Ac3Tb4Pr3 crystal from the Alexandria database. Energies are from GGA-PBE.

Output
**Symmetry**: Amm2 (38)

Cell lengths 3.7994, 9.9819, 9.9819 Å; angles 90.60, 90.00, 90.00 degrees
Fractional coordinates of all 10 atoms:
Ac (0.0000, 0.5019, 0.9996)
Ac (0.0000, 0.0004, 0.4981)
Ac (0.5000, 0.1748, 0.8252)
Tb (0.0000, 0.6229, 0.3771)
Tb (0.0000, 0.3849, 0.6151)
Tb (0.0000, 0.8713, 0.8847)
Tb (0.0000, 0.1153, 0.1287)
Pr (0.5000, 0.8238, 0.1762)
Pr (0.5000, 0.3278, 0.3231)
Pr (0.5000, 0.6769, 0.6722)



(7)
Here is a relaxed Ac2Tb7Pr4 crystal from the Alexandria database. Energies are from GGA-PBE.

Output
**Symmetry**: P-31m (162)

Cell lengths 6.2731, 6.2731, 13.6329 Å; angles 90.00, 90.00, 120.00 degrees
Fractional coordinates of all 13 atoms:
Ac (0.6667, 0.3333, 0.0000)
Ac (0.3333, 0.6667, 0.0000)
Tb (0.0000, 0.3557, 0.7831)
Tb (0.0000, 0.6443, 0.2169)
Tb (0.0000, 0.0000, 0.0000)
Tb (0.3557, 0.0000, 0.7831)
Tb (0.6443, 0.0000, 0.2169)
Tb (0.3557, 0.3557, 0.2169)
Tb (0.6443, 0.6443, 0.7831)
Pr (0.0000, 0.0000, 0.6077)
Pr (0.0000, 0.0000, 0.3923)
Pr (0.6667, 0.3333, 0.5000)
Pr (0.3333, 0.6667, 0.5000)



(8)
Here is a relaxed Ac6Tb3Pr2 crystal from the Alexandria database. Energies are from GGA-PBE.

Output
**Symmetry**: C2/m (12)

Cell lengths 6.6485, 6.6328, 12.1607 Å; angles 84.98, 79.95, 59.92 degrees
Fractional coordinates of all 11 atoms:
Ac (0.4132, 0.6678, 0.7515)
Ac (0.7452, 0.0000, 0.7482)
Ac (0.0810, 0.3322, 0.7515)
Ac (0.2548, 0.0000, 0.2518)
Ac (0.5868, 0.3322, 0.2485)
Ac (0.9190, 0.6678, 0.2485)
Tb (0.0000, 0.0000, 0.0000)
Tb (0.3343, 0.3315, 0.0000)
Tb (0.6657, 0.6685, 0.0000)
Pr (0.1691, 0.6619, 0.5000)
Pr (0.8309, 0.3381, 0.5000)



(9)
Here is a relaxed Ac8Tb2Pr3 crystal from the Alexandria database. Energies are from GGA-PBE.

Output
**Symmetry**: C2/m (12)

Cell lengths 10.3224, 10.3224, 7.3267 Å; angles 62.70, 62.70, 57.83 degrees
Fractional coordinates of all 13 atoms:
Ac (0.3958, 0.3958, 0.0010)
Ac (0.6042, 0.6042, 0.9990)
Ac (0.8121, 0.8121, 0.9848)
Ac (0.1879, 0.1879, 0.0152)
Ac (0.4370, 0.8040, 0.4573)
Ac (0.8040, 0.4370, 0.4573)
Ac (0.1960, 0.5630, 0.5427)
Ac (0.5630, 0.1960, 0.5427)
Tb (0.8120, 0.8120, 0.4608)
Tb (0.1880, 0.1880, 0.5392)
Pr (0.0000, 0.0000, 0.5000)
Pr (0.8353, 0.1647, 0.0000)
Pr (0.1647, 0.8353, 0.0000)



(10)
Here is a relaxed AcTbPr2 crystal from the Alexandria database. Energies are from GGA-PBE.

Output
**Symmetry**: Fm-3m (225)
**Energy above the most stable polymorph in this dataset**: 131 meV/atom

Cell lengths 5.9629, 5.9629, 5.9629 Å; angles 60.00, 60.00, 60.00 degrees
Last column: magnetic moment on the atom in μB.
Fractional coordinates of all 4 atoms:
Pr (0.2500, 0.2500, 0.2500)  0.18
Pr (0.7500, 0.7500, 0.7500)  0.18
Ac (0.5000, 0.5000, 0.5000)  0.11
Tb (0.0000, 0.0000, 0.0000)  0.25



(11)
Here is a relaxed Ac5TbPr crystal from the Alexandria database. Energies are from GGA-PBE.

Output
**Symmetry**: C2/c (15)

Cell lengths 7.0673, 7.1866, 12.8190 Å; angles 94.59, 74.00, 106.87 degrees
Fractional coordinates of all 14 atoms:
Ac (0.2218, 0.3379, 0.0894)
Ac (0.1774, 0.4959, 0.5879)
Ac (0.3641, 0.7500, 0.2719)
Ac (0.2347, 0.0041, 0.5879)
Ac (0.3112, 0.8379, 0.9106)
Ac (0.6888, 0.1621, 0.0894)
Ac (0.7653, 0.9959, 0.4121)
Ac (0.6359, 0.2500, 0.7281)
Ac (0.8226, 0.5041, 0.4121)
Ac (0.7782, 0.6621, 0.9106)
Tb (0.0819, 0.2500, 0.8361)
Tb (0.9181, 0.7500, 0.1639)
Pr (0.3335, 0.2500, 0.3331)
Pr (0.6665, 0.7500, 0.6669)



(12)
Here is a relaxed Ac2Tb2Pr crystal from the Alexandria database. Energies are from GGA-PBE.

Output
**Symmetry**: C2/c (15)

Cell lengths 6.8004, 9.9755, 9.5724 Å; angles 39.10, 69.19, 70.07 degrees
Fractional coordinates of all 10 atoms:
Ac (0.8410, 0.8056, 0.8093)
Ac (0.4559, 0.6944, 0.6907)
Ac (0.1590, 0.1944, 0.1907)
Ac (0.5441, 0.3056, 0.3093)
Tb (0.7962, 0.1595, 0.0147)
Tb (0.9704, 0.3405, 0.4853)
Tb (0.2038, 0.8405, 0.9853)
Tb (0.0296, 0.6595, 0.5147)
Pr (0.5797, 0.7500, 0.2500)
Pr (0.4203, 0.2500, 0.7500)



(13)
Here is a relaxed AcTb7Pr12 crystal from the Alexandria database. Energies are from GGA-PBE.

Output
**Symmetry**: R-3 (148)
**Energy above the most stable polymorph in this dataset**: 0 meV/atom

Cell lengths 8.9244, 8.9244, 8.9244 Å; angles 89.18, 89.18, 89.18 degrees
Fractional coordinates of all 20 atoms:
Ac (0.0000, 0.0000, 0.0000)
Tb (0.8458, 0.6135, 0.9393)
Tb (0.3865, 0.0607, 0.1542)
Tb (0.0607, 0.1542, 0.3865)
Tb (0.5000, 0.5000, 0.5000)
Tb (0.9393, 0.8458, 0.6135)
Tb (0.6135, 0.9393, 0.8458)
Tb (0.1542, 0.3865, 0.0607)
Pr (0.8668, 0.2802, 0.7259)
Pr (0.7198, 0.2741, 0.1332)
Pr (0.6275, 0.1433, 0.4978)
Pr (0.8567, 0.5022, 0.3725)
Pr (0.2741, 0.1332, 0.7198)
Pr (0.5022, 0.3725, 0.8567)
Pr (0.4978, 0.6275, 0.1433)
Pr (0.7259, 0.8668, 0.2802)
Pr (0.1433, 0.4978, 0.6275)
Pr (0.3725, 0.8567, 0.5022)
Pr (0.2802, 0.7259, 0.8668)
Pr (0.1332, 0.7198, 0.2741)



(14)
Here is a relaxed AcTb4Pr8 crystal from the Alexandria database. Energies are from GGA-PBE.

Output
**Symmetry**: R-3m (166)

Cell lengths 7.4092, 7.4092, 10.8448 Å; angles 90.00, 109.97, 120.00 degrees
Fractional coordinates of all 13 atoms:
Ac (0.0000, 0.5000, 0.5000)
Tb (0.0000, 0.0000, 0.0000)
Tb (0.0000, 0.5000, 0.0000)
Tb (0.5000, 0.5000, 0.0000)
Tb (0.5000, 0.0000, 0.0000)
Pr (0.5772, 0.7886, 0.3658)
Pr (0.4228, 0.2114, 0.6342)
Pr (0.4856, 0.2428, 0.2819)
Pr (0.9609, 0.2037, 0.7181)
Pr (0.5144, 0.7572, 0.7181)
Pr (0.9609, 0.7572, 0.7181)
Pr (0.0391, 0.2428, 0.2819)
Pr (0.0391, 0.7963, 0.2819)



(15)
Here is a relaxed AcTb6Pr8 crystal from the Alexandria database. Energies are from GGA-PBE.

Output
**Symmetry**: P-3 (147)

Cell lengths 6.7284, 9.6425, 9.6425 Å; angles 120.00, 90.00, 90.00 degrees
Fractional coordinates of all 15 atoms:
Ac (0.5000, 0.0000, 0.0000)
Tb (0.6098, 0.6738, 0.0862)
Tb (0.6098, 0.9138, 0.5876)
Tb (0.6098, 0.4124, 0.3262)
Tb (0.3902, 0.3262, 0.9138)
Tb (0.3902, 0.0862, 0.4124)
Tb (0.3902, 0.5876, 0.6738)
Pr (0.8869, 0.9896, 0.3104)
Pr (0.8869, 0.6896, 0.6792)
Pr (0.8869, 0.3208, 0.0104)
Pr (0.1131, 0.0104, 0.6896)
Pr (0.1131, 0.3104, 0.3208)
Pr (0.1131, 0.6792, 0.9896)
Pr (0.8327, 0.3333, 0.6667)
Pr (0.1673, 0.6667, 0.3333)



(16)
Here is a relaxed Ac6Tb5Pr2 crystal from the Alexandria database. Energies are from GGA-PBE.

Output
**Symmetry**: Pbam (55)

Cell lengths 3.7695, 11.4567, 23.6347 Å; angles 90.00, 90.00, 90.00 degrees
Fractional coordinates of all 26 atoms:
Ac (0.0000, 0.1468, 0.3863)
Ac (0.0000, 0.8532, 0.6137)
Ac (0.0000, 0.6468, 0.1137)
Ac (0.0000, 0.3532, 0.8863)
Ac (0.5000, 0.3352, 0.1308)
Ac (0.5000, 0.6648, 0.8692)
Ac (0.5000, 0.8352, 0.3692)
Ac (0.5000, 0.1648, 0.6308)
Ac (0.0000, 0.5233, 0.3897)
Ac (0.0000, 0.4767, 0.6103)
Ac (0.0000, 0.0233, 0.1103)
Ac (0.0000, 0.9767, 0.8897)
Tb (0.5000, 0.3328, 0.4949)
Tb (0.5000, 0.6672, 0.5051)
Tb (0.5000, 0.8328, 0.0051)
Tb (0.5000, 0.1672, 0.9949)
Tb (0.5000, 0.5899, 0.2511)
Tb (0.5000, 0.4101, 0.7489)
Tb (0.5000, 0.0899, 0.2489)
Tb (0.5000, 0.9101, 0.7511)
Tb (0.5000, 0.5000, 0.0000)
Tb (0.5000, 0.0000, 0.5000)
Pr (0.0000, 0.3394, 0.2693)
Pr (0.0000, 0.6606, 0.7307)
Pr (0.0000, 0.8394, 0.2307)
Pr (0.0000, 0.1606, 0.7693)



(17)
Here is a relaxed Ac3Tb2Pr3 crystal from the Alexandria database. Energies are from GGA-PBE.

Output
**Symmetry**: Pmmm (47)

Cell lengths 6.2409, 6.2246, 7.8413 Å; angles 90.00, 90.00, 90.00 degrees
Fractional coordinates of all 8 atoms:
Ac (0.0000, 0.5000, 0.5000)
Ac (0.5000, 0.0000, 0.0000)
Ac (0.5000, 0.0000, 0.5000)
Tb (0.0000, 0.0000, 0.2424)
Tb (0.0000, 0.0000, 0.7576)
Pr (0.5000, 0.5000, 0.2417)
Pr (0.5000, 0.5000, 0.7583)
Pr (0.0000, 0.5000, 0.0000)



(18)
Here is a relaxed Ac2Tb3Pr4 crystal from the Alexandria database. Energies are from GGA-PBE.

Output
**Symmetry**: P3m1 (156)
**Energy above the most stable polymorph in this dataset**: 0 meV/atom

Cell lengths 3.7423, 3.7423, 27.6905 Å; angles 90.00, 90.00, 120.00 degrees
Fractional coordinates of all 9 atoms:
Ac (0.6667, 0.3333, 0.0904)
Ac (0.6667, 0.3333, 0.8711)
Tb (0.0000, 0.0000, 0.9820)
Tb (0.0000, 0.0000, 0.3277)
Tb (0.6667, 0.3333, 0.6493)
Pr (0.0000, 0.0000, 0.5438)
Pr (0.6667, 0.3333, 0.4337)
Pr (0.6667, 0.3333, 0.2255)
Pr (0.0000, 0.0000, 0.7536)



(19)
Here is a relaxed Ac8TbPr5 crystal from the Alexandria database. Energies are from GGA-PBE.

Output
**Symmetry**: C2 (5)

Cell lengths 9.2189, 9.1583, 9.2192 Å; angles 115.01, 100.30, 113.83 degrees
Fractional coordinates of all 14 atoms:
Ac (0.2210, 0.7476, 0.0787)
Ac (0.0606, 0.2088, 0.7482)
Ac (0.6644, 0.2432, 0.3134)
Ac (0.7088, 0.4469, 0.9362)
Ac (0.4894, 0.5531, 0.2619)
Ac (0.5394, 0.7912, 0.8518)
Ac (0.3311, 0.2524, 0.4734)
Ac (0.0702, 0.7568, 0.4213)
Tb (0.0951, 0.5000, 0.5951)
Pr (0.9838, 0.2549, 0.1101)
Pr (0.8533, 0.9515, 0.2628)
Pr (0.8552, 0.7451, 0.7289)
Pr (0.5664, 0.0000, 0.5664)
Pr (0.3113, 0.0484, 0.9018)



(20)
Here is a relaxed Ac5Tb4Pr crystal from the Alexandria database. Energies are from GGA-PBE.

Output
**Symmetry**: C2/m (12)

Cell lengths 5.4675, 11.0111, 10.0382 Å; angles 41.44, 74.20, 75.62 degrees
Fractional coordinates of all 10 atoms:
Ac (0.2008, 0.8983, 0.7001)
Ac (0.7992, 0.1017, 0.2999)
Ac (0.3988, 0.3042, 0.8982)
Ac (0.0000, 0.5000, 0.5000)
Ac (0.6012, 0.6958, 0.1018)
Tb (0.6006, 0.1986, 0.6003)
Tb (0.1995, 0.3992, 0.2018)
Tb (0.8005, 0.6008, 0.7982)
Tb (0.3994, 0.8014, 0.3997)
Pr (0.0000, 0.0000, 0.0000)



Formation enthalpy at 0 K, record by record: 0.039 0.108 0.043 0.105 0.223 0.081 0.180 0.180 0.213 0.157 0.220 0.084 0.210 0.225 0.193 0.169 0.109 0.077 0.171 0.041 eV per atom